# RbBaMgB2, relaxed, DFT PBE
data_RbBaMgB2
_symmetry_space_group_name_H-M 'P 4/m m m'
_symmetry_Int_Tables_number 123
_symmetry_space_group_name_Hall '-P 4 2'
_cell_length_a 4.788
_cell_length_b 4.788
_cell_length_c 5.747
_cell_angle_alpha 90.00
_cell_angle_beta 90.00
_cell_angle_gamma 90.00
loop_
_atom_site_label
_atom_site_type_symbol
_atom_site_fract_x
_atom_site_fract_y
_atom_site_fract_z
Rb1 Rb 0.000 0.000 0.000
Ba1 Ba 0.500 0.500 0.000
Mg1 Mg 0.500 0.500 0.500
B1 B 0.000 0.500 0.500
# formation enthalpy at 0 K	1.4415	eV per atom
# uncorrected energy	-2.126	eV per atom